ScAlAs: relaxed, PBE.

POSCAR file:
```
ScAlAs
1.0
0.000 3.233 3.233
3.233 0.000 3.233
3.233 3.233 0.000
Sc Al As
1 1 1
Cartesian
0.000 0.000 0.000 Sc
1.616 1.616 1.616 Al
4.849 4.849 4.849 As
```

Calculated values
Total magnetization in μB/f.u.: 0.00
VASP energy in eV per cell: -15.2
ΔH_f (0 K) in kJ/mol of formula units: -42
Density of states at the Fermi level in states/eV/f.u.: 2.98

=====

ZrAl8Si2: relaxed, PBE.

POSCAR file:
```
ZrAl8Si2
1.0
4.732 0.000 0.000
0.000 4.732 0.000
0.000 0.000 8.987
Zr Al Si
1 8 2
Cartesian
0.000 0.000 0.000 Zr
0.000 2.366 1.600 Al
0.000 2.366 4.493 Al
0.000 2.366 7.386 Al
2.366 0.000 1.600 Al
2.366 0.000 4.493 Al
2.366 0.000 7.386 Al
2.366 2.366 3.094 Al
2.366 2.366 5.893 Al
0.000 0.000 2.846 Si
0.000 0.000 6.141 Si
```

Calculated values
Total magnetization in μB/f.u.: 0.00
VASP energy in eV per cell: -47.9
ΔE_f (raw) in kcal/mol of atoms: 2.9
Density of states at the Fermi level in states/eV/f.u.: 4.18

=====

LaDyGeCl: relaxed, PBE.

POSCAR file:
```
LaDyGeCl
1.0
5.922 0.000 0.000
0.000 2.470 4.324
0.000 -2.470 4.324
La Dy Ge Cl
1 1 1 1
Cartesian
0.000 0.000 0.000 La
2.961 0.000 5.785 Dy
2.961 0.000 0.005 Ge
0.000 0.000 5.783 Cl
```

Calculated values
Total magnetization in μB/f.u.: 0.00
VASP energy in eV per cell: -20.0
ΔE_f (raw) in kcal/mol of atoms: -22.9
Density of states at the Fermi level in states/eV/f.u.: 1.90

=====

Rb2NdErS4: relaxed, PBE.

POSCAR file:
```
Rb2NdErS4
1.0
7.166 0.000 0.000
0.000 4.135 0.000
-2.384 0.000 7.703
Rb Nd Er S
2 1 1 4
Cartesian
0.000 0.000 0.000 Rb
3.583 2.068 0.000 Rb
-1.192 2.068 3.852 Nd
2.391 0.000 3.852 Er
0.071 0.000 5.358 S
1.261 2.068 2.374 S
3.521 2.068 5.329 S
4.711 0.000 2.345 S
```

Calculated values
Total magnetization in μB/f.u.: 0.00
VASP energy in eV per cell: -42.4
ΔE_f (raw) in kcal/mol of atoms: -42.3
Density of states at the Fermi level in states/eV/f.u.: 0.00

=====

Pr6Ge2TeI3: relaxed, PBE.

POSCAR file:
```
Pr6Ge2TeI3
1.0
3.861 -6.686 0.000
3.861 6.686 0.000
-2.571 0.000 7.708
Pr Ge Te I
6 2 1 3
Cartesian
-0.073 2.353 6.145 Pr
1.138 0.000 1.548 Pr
-0.073 -2.353 6.145 Pr
5.223 2.353 1.563 Pr
4.012 0.000 6.160 Pr
5.223 -2.353 1.563 Pr
3.861 4.451 0.000 Ge
3.861 -4.451 0.000 Ge
3.861 0.000 0.000 Te
-1.286 0.000 3.854 I
2.575 2.186 3.854 I
2.575 -2.186 3.854 I
```

Calculated values
Total magnetization in μB/f.u.: 0.00
VASP energy in eV per cell: -58.8
ΔE_f (raw) in kcal/mol of atoms: -25.3
Density of states at the Fermi level in states/eV/f.u.: 5.95

=====

La4PmNd: relaxed, PBE.

POSCAR file:
```
La4PmNd
1.0
3.512 -8.894 0.000
3.512 8.894 0.000
-0.003 0.000 3.534
La Pm Nd
4 1 1
Cartesian
1.756 2.733 0.006 La
1.756 -2.733 0.006 La
5.266 2.733 3.529 La
5.266 -2.733 3.529 La
-0.002 0.000 1.767 Pm
3.511 0.000 1.767 Nd
```

Calculated values
Total magnetization in μB/f.u.: 0.00
VASP energy in eV per cell: -28.2
ΔH_f (0 K) in kJ/mol of formula units: 100
Density of states at the Fermi level in states/eV/f.u.: 8.41

=====

Tb8Zn2Ir: relaxed, PBE.

POSCAR file:
```
Tb8Zn2Ir
1.0
8.812 -2.556 0.000
8.812 2.556 0.000
-1.591 0.000 6.530
Tb Zn Ir
8 2 1
Cartesian
0.045 0.000 1.853 Tb
2.263 0.000 5.348 Tb
5.179 0.000 3.504 Tb
7.141 0.000 0.424 Tb
8.893 0.000 6.105 Tb
10.855 0.000 3.025 Tb
13.770 0.000 1.182 Tb
15.989 0.000 4.677 Tb
2.993 0.000 1.537 Zn
13.041 0.000 4.992 Zn
8.017 0.000 3.265 Ir
```

Calculated values
Total magnetization in μB/f.u.: 0.00
VASP energy in eV per cell: -51.5
ΔH_f (0 K) in kJ/mol of formula units: -298
Density of states at the Fermi level in states/eV/f.u.: 8.66

=====

BaCrW2: relaxed, PBE.

POSCAR file:
```
BaCrW2
1.0
-2.000 2.000 5.182
2.000 -2.000 5.182
2.000 2.000 -5.182
Ba Cr W
1 1 2
Cartesian
0.000 0.000 0.000 Ba
0.000 0.000 5.182 Cr
2.000 0.000 2.591 W
0.000 2.000 2.591 W
```

Calculated values
Total magnetization in μB/f.u.: 3.00
VASP energy in eV per cell: -30.9
ΔH_f (0 K) in kJ/mol of formula units: 628
Density of states at the Fermi level in states/eV/f.u.: 4.12

=====

Which value of density of states at the Fermi level does entry 6 give? 8.41 states/eV/f.u.